Model w:
RbLaTc2: optimized geometry, PBE-GGA.

* space group: Fm-3m
* total magnetization: 4.036 Bohr magnetons per cell

The structure in POSCAR format:
```
RbLaTc2
1.0
0.0000 3.6588 3.6588
3.6588 0.0000 3.6588
3.6588 3.6588 0.0000
Tc La Rb
2 1 1
Cartesian
1.8294 1.8294 1.8294
5.4881 5.4881 5.4881
3.6588 3.6588 3.6588
0.0000 0.0000 0.0000
```


Model x:
RbLaTc2: optimized geometry, PBE-GGA.

* space group: I-42d
* total magnetization: 0.000 Bohr magnetons per cell

The structure in POSCAR format:
```
RbLaTc2
1.0
4.7926 0.0000 0.0000
0.0000 4.7926 0.0000
2.3963 2.3963 10.1976
La Tc Rb
2 4 2
Cartesian
0.0000 0.0000 0.0000
4.7926 2.3963 5.0988
3.5944 2.7147 7.6482
5.1110 3.5944 2.5494
4.4741 1.1981 2.5494
5.9907 2.0778 7.6482
2.3963 4.7926 5.0988
2.3963 2.3963 0.0000
```


Energies in meV per atom, measured from the most stable structure: model w 286; model x 0.


Model w:
Rb2LaTe2: optimized geometry, PBE-GGA.

* space group: P4/mbm
* total magnetization: 0.000 Bohr magnetons per cell

The structure in POSCAR format:
```
Rb2LaTe2
1.0
8.8201 0.0000 0.0000
0.0000 8.8201 0.0000
0.0000 0.0000 5.4099
La Te Rb
2 4 4
Cartesian
4.4101 4.4101 0.0000
0.0000 0.0000 0.0000
5.9745 1.5645 0.0000
2.8456 7.2557 0.0000
1.5645 2.8456 0.0000
7.2557 5.9745 0.0000
3.1988 1.2112 2.7050
1.2112 5.6213 2.7050
7.6089 3.1988 2.7050
5.6213 7.6089 2.7050
```


Model x:
Rb2LaTe2: optimized geometry, PBE-GGA.

* space group: P4/mbm
* total magnetization: 0.054 Bohr magnetons per cell

The structure in POSCAR format:
```
Rb2LaTe2
1.0
-3.9517 7.1893 -4.9110
-8.6475 -2.6141 3.1315
0.4398 2.4928 3.2954
La Rb Te
2 4 4
Cartesian
0.0000 0.0000 0.0000
-6.2996 2.2876 -0.8897
-3.7858 -0.1840 0.6444
-8.8134 4.7592 -2.4239
-3.4192 4.1188 -2.6593
-9.1800 0.4564 0.8799
-9.5193 4.0728 0.8094
-2.6401 2.9952 0.7065
-5.6833 6.2672 -1.3624
-6.4761 0.8008 2.8784
```


Energies in meV per atom, measured from the most stable structure: model w 0; model x 416.


Model w:
RbLa3Ti: optimized geometry, PBE-GGA.

* space group: Pm-3m
* total magnetization: 0.000 Bohr magnetons per cell

The structure in POSCAR format:
```
RbLa3Ti
1.0
5.8602 0.0000 0.0000
0.0000 5.8602 0.0000
0.0000 0.0000 5.8602
Rb Ti La
1 1 3
Cartesian
2.9301 2.9301 2.9301
0.0000 0.0000 0.0000
0.0000 0.0000 2.9301
0.0000 2.9301 0.0000
2.9301 0.0000 0.0000
```


Model x:
RbLa3Ti: optimized geometry, PBE-GGA.

* space group: Pm-3m
* total magnetization: 2.421 Bohr magnetons per cell

The structure in POSCAR format:
```
RbLa3Ti
1.0
-2.5284 4.4033 -2.5723
0.8508 -2.4666 -5.0587
-5.0281 -2.6316 0.4375
Rb Ti La
1 1 3
Cartesian
0.0000 0.0000 0.0000
-3.3529 -0.3475 -3.5967
-1.2642 2.2016 -1.2861
0.4254 -1.2333 -2.5293
-2.5140 -1.3158 0.2188
```


Energies in meV per atom, measured from the most stable structure: model w 0; model x 898.


Model w:
RbLa2Tl2: optimized geometry, PBE-GGA.

* space group: P4/mbm
* total magnetization: 0.571 Bohr magnetons per cell

The structure in POSCAR format:
```
RbLa2Tl2
1.0
9.9751 0.0000 0.0000
0.0000 9.9751 0.0000
0.0000 0.0000 3.5509
La Rb Tl
4 2 4
Cartesian
1.2105 3.7771 0.0000
6.1980 1.2105 0.0000
3.7771 8.7646 0.0000
8.7646 6.1980 0.0000
0.0000 0.0000 0.0000
4.9875 4.9875 0.0000
3.2437 1.7438 1.7755
6.7313 8.2313 1.7755
1.7438 6.7313 1.7755
8.2313 3.2437 1.7755
```


Model x:
RbLa2Tl2: optimized geometry, PBE-GGA.

* space group: I4/mmm
* total magnetization: 0.000 Bohr magnetons per cell

The structure in POSCAR format:
```
RbLa2Tl2
1.0
5.2015 0.0000 0.0000
0.0000 5.2015 0.0000
2.6007 2.6007 7.3783
Tl Rb La
2 1 2
Cartesian
5.2015 5.2015 5.8578
2.6007 2.6007 1.5205
0.0000 0.0000 0.0000
2.6007 5.2015 3.6891
5.2015 2.6007 3.6891
```


Energies in meV per atom, measured from the most stable structure: model w 0; model x 210.


Model w:
RbLaV2: optimized geometry, PBE-GGA.

* space group: I-42d
* total magnetization: 11.295 Bohr magnetons per cell

The structure in POSCAR format:
```
RbLaV2
1.0
-3.8087 -1.5824 -2.8566
-1.4302 -3.1370 3.6446
-8.8029 5.1833 4.4601
Rb V La
2 4 2
Cartesian
-2.6194 -2.3597 0.3940
-6.4262 -0.1567 4.2494
-8.3529 2.5866 3.0958
-6.8100 -2.2084 0.6063
-5.3292 -0.3218 -0.6418
-9.9697 2.4261 0.9348
-7.6155 0.6206 0.9988
0.0000 0.0000 0.0000
```


Model x:
RbLaV2: optimized geometry, PBE-GGA.

* space group: Fm-3m
* total magnetization: 9.182 Bohr magnetons per cell

The structure in POSCAR format:
```
RbLaV2
1.0
0.0000 3.9851 3.9851
3.9851 0.0000 3.9851
3.9851 3.9851 0.0000
V Rb La
2 1 1
Cartesian
5.9777 5.9777 5.9777
1.9926 1.9926 1.9926
0.0000 0.0000 0.0000
3.9851 3.9851 3.9851
```


Energies in meV per atom, measured from the most stable structure: model w 144; model x 0.


Model w:
RbLaW2: optimized geometry, PBE-GGA.

* space group: Fm-3m
* total magnetization: 4.591 Bohr magnetons per cell

The structure in POSCAR format:
```
RbLaW2
1.0
0.0000 3.7416 3.7416
3.7416 0.0000 3.7416
3.7416 3.7416 0.0000
La W Rb
1 2 1
Cartesian
3.7416 3.7416 3.7416
5.6124 5.6124 5.6124
1.8708 1.8708 1.8708
0.0000 0.0000 0.0000
```


Model x:
RbLaW2: optimized geometry, PBE-GGA.

* space group: I-42d
* total magnetization: 0.000 Bohr magnetons per cell

The structure in POSCAR format:
```
RbLaW2
1.0
4.2069 0.0000 0.0000
0.0000 4.2069 0.0000
2.1034 2.1034 11.2862
W La Rb
4 2 2
Cartesian
5.2586 2.8865 8.4647
3.4238 3.1552 2.8216
3.1552 5.5273 8.4647
0.7831 1.0517 2.8216
0.0000 0.0000 0.0000
4.2069 2.1034 5.6431
2.1034 2.1034 0.0000
2.1034 4.2069 5.6431
```


Energies in meV per atom, measured from the most stable structure: model w 500; model x 0.


Model w:
RbLa2Y2: optimized geometry, PBE-GGA.

* space group: P4/mbm
* total magnetization: 0.000 Bohr magnetons per cell

The structure in POSCAR format:
```
RbLa2Y2
1.0
10.4830 0.0000 0.0000
0.0000 10.4830 0.0000
0.0000 0.0000 3.7386
La Y Rb
4 4 2
Cartesian
3.9889 9.2304 0.0000
1.2526 3.9889 0.0000
6.4941 1.2526 0.0000
9.2304 6.4941 0.0000
8.7399 3.4984 1.8693
6.9846 8.7399 1.8693
1.7431 6.9846 1.8693
3.4984 1.7431 1.8693
5.2415 5.2415 0.0000
0.0000 0.0000 0.0000
```


Model x:
RbLa2Y2: optimized geometry, PBE-GGA.

* space group: P4/mbm
* total magnetization: 0.010 Bohr magnetons per cell

The structure in POSCAR format:
```
RbLa2Y2
1.0
10.5235 0.0000 0.0000
0.0000 10.5235 0.0000
0.0000 0.0000 3.6521
La Y Rb
4 4 2
Cartesian
3.4181 1.8436 1.8261
1.8436 7.1054 1.8261
7.1054 8.6799 1.8261
8.6799 3.4181 1.8261
4.0669 9.3287 0.0000
9.3287 6.4566 0.0000
1.1948 4.0669 0.0000
6.4566 1.1948 0.0000
5.2618 5.2618 0.0000
0.0000 0.0000 0.0000
```


Energies in meV per atom, measured from the most stable structure: model w 25; model x 0.


Model w:
RbLa2Zr: optimized geometry, PBE-GGA.

* space group: I-42d
* total magnetization: 0.000 Bohr magnetons per cell

The structure in POSCAR format:
```
RbLa2Zr
1.0
-5.5678 6.7041 -1.9385
-5.0935 -2.2086 6.9915
-3.0286 4.8855 5.0369
La Zr Rb
4 2 2
Cartesian
-5.6478 5.6195 4.8192
-3.9571 -0.1392 5.6232
-5.5532 5.9536 0.6850
-12.2217 7.3282 9.0523
-6.9635 6.9187 2.8124
0.0000 0.0000 0.0000
-5.3307 2.2478 2.5265
-6.7264 2.4624 7.2774
```


Model x:
RbLa2Zr: optimized geometry, PBE-GGA.

* space group: Fm-3m
* total magnetization: 2.770 Bohr magnetons per cell

The structure in POSCAR format:
```
RbLa2Zr
1.0
0.0000 4.1600 4.1600
4.1600 0.0000 4.1600
4.1600 4.1600 0.0000
La Zr Rb
2 1 1
Cartesian
6.2400 6.2400 6.2400
2.0800 2.0800 2.0800
4.1600 4.1600 4.1600
0.0000 0.0000 0.0000
```


Energies in meV per atom, measured from the most stable structure: model w 160; model x 0.


Model w:
Rb2LaZr: optimized geometry, PBE-GGA.

* space group: I-42d
* total magnetization: 0.116 Bohr magnetons per cell

The structure in POSCAR format:
```
Rb2LaZr
1.0
4.7737 0.0000 0.0000
0.0000 4.7737 0.0000
2.3869 2.3869 14.6433
Zr La Rb
2 2 4
Cartesian
2.3869 2.3869 0.0000
2.3869 4.7737 7.3216
0.0000 0.0000 0.0000
4.7737 2.3869 7.3216
3.5692 1.1934 3.6608
1.2045 3.5803 3.6608
3.5803 3.5913 10.9825
5.9671 5.9561 10.9825
```


Model x:
Rb2LaZr: optimized geometry, PBE-GGA.

* space group: Fm-3m
* total magnetization: 0.838 Bohr magnetons per cell

The structure in POSCAR format:
```
Rb2LaZr
1.0
1.7554 -4.3929 3.9996
-3.6782 -4.8700 1.0628
1.6129 -5.6105 -2.0727
Zr Rb La
1 2 1
Cartesian
0.0000 0.0000 0.0000
-0.2325 -11.1551 2.2423
-0.0775 -3.7184 0.7474
-0.1550 -7.4367 1.4948
```


Energies in meV per atom, measured from the most stable structure: model w 0; model x 317.


Model w:
La2Re3: optimized geometry, PBE-GGA.

* space group: Cmmm
* total magnetization: 0.000 Bohr magnetons per cell

The structure in POSCAR format:
```
La2Re3
1.0
1.9826 -6.4402 0.0000
1.9826 6.4402 0.0000
0.0000 0.0000 4.6282
Re La
3 2
Cartesian
1.9826 0.0000 0.0000
1.9826 2.4943 0.0000
1.9826 -2.4943 0.0000
1.9826 4.9073 2.3141
1.9826 -4.9073 2.3141
```


Model x:
La2Re3: optimized geometry, PBE-GGA.

* space group: Fdd2
* total magnetization: 0.000 Bohr magnetons per cell

The structure in POSCAR format:
```
La2Re3
1.0
0.0000 5.0628 7.5379
3.0670 0.0000 7.5379
3.0670 5.0628 0.0000
La Re
4 6
Cartesian
3.6904 6.7493 6.8202
5.2239 5.9078 10.5892
3.6904 3.3764 8.2556
5.2239 9.2807 12.0246
2.2240 2.5314 3.7690
2.0984 5.9164 9.4430
3.6319 8.4478 9.4018
3.6319 6.7407 13.2119
0.6904 5.0628 7.5379
2.0984 4.2093 5.6328
```


Energies in meV per atom, measured from the most stable structure: model w 187; model x 0.


Model w:
LaRe3Rh: optimized geometry, PBE-GGA.

* space group: Pm-3m
* total magnetization: 0.000 Bohr magnetons per cell

The structure in POSCAR format:
```
LaRe3Rh
1.0
-3.9271 -1.4548 2.2980
2.1438 -4.1394 1.0431
1.6737 1.8888 4.0559
Re La Rh
3 1 1
Cartesian
-1.9635 -0.7274 1.1490
0.8368 0.9444 2.0279
1.0719 -2.0697 0.5215
-0.0548 -1.8527 3.6985
0.0000 0.0000 0.0000
```


Model x:
LaRe3Rh: optimized geometry, PBE-GGA.

* space group: Pm-3m
* total magnetization: 0.000 Bohr magnetons per cell

The structure in POSCAR format:
```
LaRe3Rh
1.0
4.7216 0.0000 0.0000
0.0000 4.7216 0.0000
0.0000 0.0000 4.7216
Re La Rh
3 1 1
Cartesian
2.3608 0.0000 0.0000
0.0000 2.3608 0.0000
0.0000 0.0000 2.3608
0.0000 0.0000 0.0000
2.3608 2.3608 2.3608
```


Energies in meV per atom, measured from the most stable structure: model w 0; model x 1569.


Model w:
LaReRh2: optimized geometry, PBE-GGA.

* space group: I-42d
* total magnetization: 0.000 Bohr magnetons per cell

The structure in POSCAR format:
```
LaReRh2
1.0
4.8780 0.0000 0.0000
0.0000 4.8780 0.0000
2.4390 2.4390 8.1704
Rh Re La
4 2 2
Cartesian
6.0975 1.9975 6.1278
5.3196 3.6585 2.0426
3.6585 2.8806 6.1278
4.4365 1.2195 2.0426
4.8780 2.4390 4.0852
0.0000 0.0000 0.0000
2.4390 2.4390 0.0000
2.4390 4.8780 4.0852
```


Model x:
LaReRh2: optimized geometry, PBE-GGA.

* space group: R-3m
* total magnetization: 0.699 Bohr magnetons per cell

The structure in POSCAR format:
```
LaReRh2
1.0
9.6745 -1.4495 -0.0093
9.6745 1.4495 -0.0093
9.4597 0.0000 2.4921
Rh Re La
2 1 1
Cartesian
21.2890 0.0000 1.8278
7.5197 0.0000 0.6456
0.0000 0.0000 0.0000
14.4043 0.0000 1.2367
```


Model y:
LaReRh2: optimized geometry, PBE-GGA.

* space group: C2/m
* total magnetization: 0.059 Bohr magnetons per cell

The structure in POSCAR format:
```
LaReRh2
1.0
-3.4018 -0.3682 -2.5408
-1.0297 0.0189 -4.1355
0.7210 -6.5083 -0.5072
Rh Re La
2 1 1
Cartesian
-3.2116 -1.5302 -5.1485
-0.4989 -5.3274 -2.0351
-2.2157 -0.1747 -3.3382
0.3605 -3.2542 -0.2536
```


Model z:
LaReRh2: optimized geometry, PBE-GGA.

* space group: R3m
* total magnetization: 0.425 Bohr magnetons per cell

The structure in POSCAR format:
```
LaReRh2
1.0
-3.3513 6.7068 -6.4864
-5.7826 6.3119 -5.0007
-3.8175 8.1947 -4.0692
Rh Re La
2 1 1
Cartesian
-12.9263 21.1721 -15.5261
-9.6105 15.7412 -11.5434
-3.3961 5.5625 -4.0791
-6.4458 10.5576 -7.7422
```


Energies in meV per atom, measured from the most stable structure: model w 228; model x 181; model y 0; model z 317.